1.
Below is a relaxed structure of K2Pm2UTe6, with properties calculated at the PBE level.

DOS(E_F) ... 7.36 states/eV/f.u.
Formation energy without anion corrections ... -1188 meV per atom

CIF file:
```
data_K2Pm2UTe6
_cell_length_a 7.796
_cell_length_b 7.796
_cell_length_c 8.819
_cell_angle_alpha 98.69
_cell_angle_beta 98.69
_cell_angle_gamma 119.76
_space_group_name_H-M_alt 'P 1'
_space_group_IT_number 1
loop_
_space_group_symop_operation_xyz
'x,y,z'
loop_
_atom_site_label
_atom_site_type_symbol
_atom_site_fract_x
_atom_site_fract_y
_atom_site_fract_z
_atom_site_occupancy
K1 K 0.830 0.170 0.000 1
K2 K 0.170 0.830 0.000 1
Pm1 Pm 0.333 0.667 0.500 1
Pm2 Pm 0.667 0.333 0.500 1
U1 U 0.000 0.000 0.500 1
Te1 Te 0.746 0.746 0.708 1
Te2 Te 0.073 0.396 0.710 1
Te3 Te 0.254 0.254 0.292 1
Te4 Te 0.396 0.073 0.710 1
Te5 Te 0.927 0.604 0.290 1
Te6 Te 0.604 0.927 0.290 1
```


2.
Below is a relaxed structure of K2PmUTe4, with properties calculated at the PBE level.

DOS(E_F) ... 9.27 states/eV/f.u.
Formation energy without anion corrections ... -1122 meV per atom

CIF file:
```
data_K2PmUTe4
_cell_length_a 4.559
_cell_length_b 7.885
_cell_length_c 8.682
_cell_angle_alpha 107.69
_cell_angle_beta 90.00
_cell_angle_gamma 90.00
_space_group_name_H-M_alt 'P 1'
_space_group_IT_number 1
loop_
_space_group_symop_operation_xyz
'x,y,z'
loop_
_atom_site_label
_atom_site_type_symbol
_atom_site_fract_x
_atom_site_fract_y
_atom_site_fract_z
_atom_site_occupancy
K1 K 0.500 0.000 0.500 1
K2 K 0.000 0.500 0.500 1
Pm1 Pm 0.500 0.500 0.000 1
U1 U 0.000 0.000 0.000 1
Te1 Te 0.500 0.234 0.212 1
Te2 Te 0.500 0.766 0.788 1
Te3 Te 0.000 0.259 0.786 1
Te4 Te 0.000 0.741 0.214 1
```


3.
Below is a relaxed structure of K3Pm2UTe6, with properties calculated at the PBE level.

DOS(E_F) ... 9.88 states/eV/f.u.
Formation energy without anion corrections ... -1219 meV per atom

CIF file:
```
data_K3Pm2UTe6
_cell_length_a 7.927
_cell_length_b 7.927
_cell_length_c 8.680
_cell_angle_alpha 98.75
_cell_angle_beta 98.75
_cell_angle_gamma 120.00
_space_group_name_H-M_alt 'P 1'
_space_group_IT_number 1
loop_
_space_group_symop_operation_xyz
'x,y,z'
loop_
_atom_site_label
_atom_site_type_symbol
_atom_site_fract_x
_atom_site_fract_y
_atom_site_fract_z
_atom_site_occupancy
K1 K 0.168 0.832 0.500 1
K2 K 0.832 0.168 0.500 1
K3 K 0.500 0.500 0.500 1
Pm1 Pm 0.334 0.666 0.000 1
Pm2 Pm 0.666 0.334 0.000 1
U1 U 0.000 0.000 0.000 1
Te1 Te 0.929 0.598 0.787 1
Te2 Te 0.740 0.740 0.214 1
Te3 Te 0.071 0.402 0.213 1
Te4 Te 0.598 0.929 0.787 1
Te5 Te 0.260 0.260 0.786 1
Te6 Te 0.402 0.071 0.213 1
```


4.
Below is a relaxed structure of K3Pm2YTe6, with properties calculated at the PBE level.

Formation energy without anion corrections ... -1414 meV per atom

CIF file:
```
data_K3Pm2YTe6
_cell_length_a 7.901
_cell_length_b 7.901
_cell_length_c 8.663
_cell_angle_alpha 98.75
_cell_angle_beta 98.75
_cell_angle_gamma 120.00
_space_group_name_H-M_alt 'P 1'
_space_group_IT_number 1
loop_
_space_group_symop_operation_xyz
'x,y,z'
loop_
_atom_site_label
_atom_site_type_symbol
_atom_site_fract_x
_atom_site_fract_y
_atom_site_fract_z
_atom_site_occupancy
K1 K 0.168 0.832 0.500 1
K2 K 0.832 0.168 0.500 1
K3 K 0.500 0.500 0.500 1
Pm1 Pm 0.334 0.666 0.000 1
Pm2 Pm 0.666 0.334 0.000 1
Y1 Y 0.000 0.000 0.000 1
Te1 Te 0.930 0.602 0.788 1
Te2 Te 0.743 0.743 0.212 1
Te3 Te 0.070 0.398 0.212 1
Te4 Te 0.602 0.930 0.788 1
Te5 Te 0.257 0.257 0.788 1
Te6 Te 0.398 0.070 0.212 1
```


5.
Below is a relaxed structure of KPm2Y3Te6, with properties calculated at the PBE level.

DOS(E_F) ... 4.45 states/eV/f.u.
Formation energy without anion corrections ... -1359 meV per atom

CIF file:
```
data_KPm2Y3Te6
_cell_length_a 4.407
_cell_length_b 9.092
_cell_length_c 10.042
_cell_angle_alpha 103.93
_cell_angle_beta 102.67
_cell_angle_gamma 90.00
_space_group_name_H-M_alt 'P 1'
_space_group_IT_number 1
loop_
_space_group_symop_operation_xyz
'x,y,z'
loop_
_atom_site_label
_atom_site_type_symbol
_atom_site_fract_x
_atom_site_fract_y
_atom_site_fract_z
_atom_site_occupancy
K1 K 0.500 0.000 0.000 1
Pm1 Pm 0.828 0.652 0.656 1
Pm2 Pm 0.172 0.348 0.344 1
Y1 Y 0.500 0.500 0.000 1
Y2 Y 0.837 0.176 0.673 1
Y3 Y 0.163 0.824 0.327 1
Te1 Te 0.326 0.918 0.652 1
Te2 Te 0.663 0.589 0.325 1
Te3 Te 0.674 0.082 0.348 1
Te4 Te 0.001 0.267 0.002 1
Te5 Te 0.999 0.733 0.998 1
Te6 Te 0.337 0.411 0.675 1
```


6.
Below is a relaxed structure of K3Pm3YTe8, with properties calculated at the PBE level.

DOS(E_F) ... 7.62 states/eV/f.u.
Formation energy without anion corrections ... -1331 meV per atom

CIF file:
```
data_K3Pm3YTe8
_cell_length_a 8.963
_cell_length_b 8.967
_cell_length_c 9.959
_cell_angle_alpha 116.78
_cell_angle_beta 89.99
_cell_angle_gamma 119.98
_space_group_name_H-M_alt 'P 1'
_space_group_IT_number 1
loop_
_space_group_symop_operation_xyz
'x,y,z'
loop_
_atom_site_label
_atom_site_type_symbol
_atom_site_fract_x
_atom_site_fract_y
_atom_site_fract_z
_atom_site_occupancy
K1 K 0.000 0.000 0.000 1
K2 K 0.000 0.500 0.000 1
K3 K 0.500 0.500 0.000 1
Pm1 Pm 0.500 0.000 0.500 1
Pm2 Pm 0.500 0.500 0.500 1
Pm3 Pm 0.000 0.500 0.500 1
Y1 Y 0.000 0.000 0.500 1
Te1 Te 0.262 0.524 0.286 1
Te2 Te 0.738 0.476 0.714 1
Te3 Te 0.765 0.531 0.290 1
Te4 Te 0.235 0.469 0.710 1
Te5 Te 0.765 0.025 0.290 1
Te6 Te 0.235 0.975 0.710 1
Te7 Te 0.259 0.024 0.290 1
Te8 Te 0.741 0.976 0.710 1
```